A relaxed structure of Sr2LiSi3Au12, computed with GGA-PBE.

a b c (Å): 8.002 8.002 8.002
angles (deg): 68.09 68.09 68.09
Fractional coordinates of all 18 atoms:
Sr 0.108 0.108 0.108
Sr 0.892 0.892 0.892
Li 0.500 0.500 0.500
Si 0.000 0.500 0.500
Si 0.500 0.000 0.500
Si 0.500 0.500 0.000
Au 0.141 0.628 0.628
Au 0.186 0.186 0.638
Au 0.186 0.638 0.186
Au 0.362 0.814 0.814
Au 0.372 0.372 0.859
Au 0.372 0.859 0.372
Au 0.628 0.141 0.628
Au 0.628 0.628 0.141
Au 0.638 0.186 0.186
Au 0.814 0.362 0.814
Au 0.814 0.814 0.362
Au 0.859 0.372 0.372

## Properties
Theoretical density ... 10.29 g cm⁻³
ΔE_f (raw) ... -0.173 eV per atom